Here is crystalline AlIn2Ge2Rh5 at its relaxed geometry from Alexandria via LeMat-Bulk. Energies are from PBE.

Output
Space group: P4/mbm (127)
Density in g cm⁻³: 9.35
Energy relative to the elements in eV per atom: -0.432

Cell lengths 2.9981, 10.4223, 10.4223 Å; angles 90.00, 90.00, 90.00 degrees
With the nearest neighbours (Å) after each atom.
Atoms (fractional coordinates):
Al (0.0000, 0.0000, 0.0000)  8 Rh 2.61
Al (0.0000, 0.5000, 0.5000)  8 Rh 2.61
In (0.0000, 0.6585, 0.1585)  6 Rh 2.78, 1 Ge 2.97, 2 In 3.00
In (0.0000, 0.3415, 0.8415)  6 Rh 2.78, 1 Ge 2.97, 2 In 3.00
In (0.0000, 0.1585, 0.3415)  6 Rh 2.78, 1 Ge 2.97, 2 In 3.00
In (0.0000, 0.8415, 0.6585)  6 Rh 2.78, 1 Ge 2.97, 2 In 3.00
Ge (0.0000, 0.1397, 0.6397)  6 Rh 2.51-2.55
Ge (0.0000, 0.8603, 0.3603)  6 Rh 2.51-2.55
Ge (0.0000, 0.6397, 0.8603)  6 Rh 2.51-2.55
Ge (0.0000, 0.3603, 0.1397)  6 Rh 2.51-2.55
Rh (0.5000, 0.1689, 0.1169)  2 Ge 2.51, 2 Al 2.61, 2 In 2.78
Rh (0.5000, 0.8311, 0.8831)  2 Ge 2.51, 2 Al 2.61, 2 In 2.78
Rh (0.5000, 0.1169, 0.8311)  2 Ge 2.51, 2 Al 2.61, 2 In 2.78
Rh (0.5000, 0.6689, 0.3831)  2 Ge 2.51, 2 Al 2.61, 2 In 2.78
Rh (0.5000, 0.8831, 0.1689)  2 Ge 2.51, 2 Al 2.61, 2 In 2.78
Rh (0.5000, 0.3311, 0.6169)  2 Ge 2.51, 2 Al 2.61, 2 In 2.78
Rh (0.5000, 0.6169, 0.6689)  2 Ge 2.51, 2 Al 2.61, 2 In 2.78
Rh (0.5000, 0.3831, 0.3311)  2 Ge 2.51, 2 Al 2.61, 2 In 2.78
Rh (0.5000, 0.5000, 0.0000)  4 Ge 2.55, 4 In 2.78
Rh (0.5000, 0.0000, 0.5000)  4 Ge 2.55, 4 In 2.78